No. 1
A geometry-optimized TlSnP2 structure, computed with GGA-PBE.

```
TlSnP2
1.0
-4.065 -2.241 -1.787
-4.117 -0.268 2.779
-3.999 2.699 -1.212
P Tl Sn
2 1 1
Direct
0.250 0.250 0.250
0.750 0.750 0.750
0.500 0.500 0.500
0.000 0.000 0.000
```

Results
Its magnetization is 0.00 μB per atom. For the energy of formation from the pure elements, the calculation gives 1.96 eV per formula unit. As for the volume: 21.8 Å³ per atom. Its symmetry is Fm-3m (225). The energy relative to the lowest polymorph listed for this composition is 0.348 eV per atom.


No. 2
A geometry-optimized Pr2CuIr structure, computed with GGA-PBE.

```
Pr2CuIr
1.0
-0.465 1.341 -3.986
1.022 -2.546 -3.221
-6.233 -2.873 -2.485
Pr Ir Cu
2 1 1
Direct
0.258 0.258 0.227
0.742 0.742 0.773
0.000 0.000 0.000
0.500 0.500 0.500
```

Results
Its magnetization is 0.00 μB per atom. For the energy of formation from the pure elements, the calculation gives -1.16 eV per formula unit. As for the volume: 26.7 Å³ per atom. Its symmetry is R-3m (166).


No. 3
A geometry-optimized MnFeMo2 structure, computed with GGA-PBE.

```
MnFeMo2
1.0
9.025 0.021 0.012
8.625 2.659 0.012
8.625 1.310 2.314
Fe Mn Mo
1 1 2
Direct
0.494 0.494 0.494
0.756 0.756 0.756
0.006 0.006 0.006
0.244 0.244 0.244
```

Results
Its magnetization is 0.39 μB per atom. For the energy of formation from the pure elements, the calculation gives 1.37 eV per formula unit. As for the volume: 13.7 Å³ per atom. Its symmetry is R3m (160). The energy relative to the lowest polymorph listed for this composition is 0.235 eV per atom.


No. 4
A geometry-optimized Cs2KAu structure, computed with GGA-PBE.

```
Cs2KAu
1.0
-1.368 2.363 4.761
0.538 -5.662 2.965
6.188 1.206 1.180
Cs K Au
2 1 1
Direct
0.000 0.000 0.500
0.000 0.500 0.000
0.500 0.000 0.000
0.500 0.500 0.500
```

Results
Its magnetization is 0.00 μB per atom. For the energy of formation from the pure elements, the calculation gives -0.16 eV per formula unit. As for the volume: 56.4 Å³ per atom. Its symmetry is P4/mmm (123). The energy relative to the lowest polymorph listed for this composition is 0.132 eV per atom.


No. 5
A geometry-optimized Ca2PmCd structure, computed with GGA-PBE.

```
Ca2PmCd
1.0
-3.443 -0.372 -4.497
1.101 -3.751 -4.115
-3.328 -4.550 -0.657
Ca Cd Pm
2 1 1
Direct
0.250 0.250 0.250
0.750 0.750 0.750
0.500 0.500 0.500
0.000 0.000 0.000
```

Results
Its magnetization is 0.12 μB per atom. For the energy of formation from the pure elements, the calculation gives 0.16 eV per formula unit. As for the volume: 32.3 Å³ per atom. Its symmetry is Fm-3m (225). The energy relative to the lowest polymorph listed for this composition is 0.111 eV per atom.


No. 6
A geometry-optimized Mg2CdGa2Pd5 structure, computed with GGA-PBE.

```
Mg2CdGa2Pd5
1.0
-0.870 -2.874 -2.222
1.866 -6.067 7.115
-9.083 0.547 2.849
Mg Cd Ga Pd
4 2 4 10
Direct
0.000 0.673 0.173
0.000 0.327 0.827
0.000 0.173 0.327
0.000 0.827 0.673
0.000 0.000 0.000
0.000 0.500 0.500
0.000 0.126 0.626
0.000 0.874 0.374
0.000 0.626 0.874
0.000 0.374 0.126
0.500 0.204 0.078
0.500 0.796 0.922
0.500 0.078 0.796
0.500 0.704 0.422
0.500 0.922 0.204
0.500 0.296 0.578
0.500 0.578 0.704
0.500 0.422 0.296
0.500 0.500 0.000
0.500 0.000 0.500
```

Results
Its magnetization is 0.00 μB per atom. For the energy of formation from the pure elements, the calculation gives -5.63 eV per formula unit. As for the volume: 17.0 Å³ per atom. Its symmetry is P4/mbm (127).


No. 7
A geometry-optimized RbGa2FeGe structure, computed with GGA-PBE.

```
RbGa2FeGe
1.0
4.776 0.000 0.000
0.000 4.776 0.000
0.000 0.000 4.654
Ge Ga Rb Fe
1 2 1 1
Direct
0.000 0.000 0.500
0.000 0.500 0.000
0.500 0.000 0.000
0.500 0.500 0.500
0.000 0.000 0.000
```

Results
Its magnetization is 0.18 μB per atom. For the energy of formation from the pure elements, the calculation gives -0.10 eV per formula unit. As for the volume: 21.2 Å³ per atom. Its symmetry is P4/mmm (123).


No. 8
A geometry-optimized Sm7Ga5Hg structure, computed with GGA-PBE.

```
Sm7Ga5Hg
1.0
6.397 0.000 0.000
3.199 7.326 0.144
3.199 0.120 7.327
Sm Ga Hg
7 5 1
Direct
0.649 0.351 0.351
0.274 0.726 0.726
0.997 0.320 0.685
0.997 0.685 0.320
0.279 0.221 0.221
0.524 0.796 0.156
0.524 0.156 0.796
0.517 0.997 0.490
0.996 0.997 0.490
0.517 0.490 0.997
0.996 0.490 0.997
0.764 0.736 0.736
0.964 0.036 0.036
```

Results
Its magnetization is 0.00 μB per atom. For the energy of formation from the pure elements, the calculation gives -4.91 eV per formula unit. As for the volume: 26.4 Å³ per atom. Its symmetry is Imm2 (44).


No. 9
A geometry-optimized Ca2BIrSe structure, computed with GGA-PBE.

```
Ca2BIrSe
1.0
5.254 0.000 0.000
0.000 5.254 0.000
0.000 0.000 3.930
Ca Ir B Se
2 1 1 1
Direct
0.000 0.500 0.000
0.500 0.000 0.000
0.000 0.000 0.500
0.000 0.000 0.000
0.500 0.500 0.500
```

Results
The formation energy from raw total energies comes out at -0.599 eV/atom. Its magnetization is 0.00 μB per atom. As for the volume: 21.7 Å³ per atom. Its symmetry is P4/mmm (123).


No. 10
A geometry-optimized In2AgRh structure, computed with GGA-PBE.

```
In2AgRh
1.0
-7.615 -2.949 3.836
-5.837 -5.606 3.988
-5.562 -3.365 6.257
In Ag Rh
2 1 1
Direct
0.757 0.757 0.757
0.243 0.243 0.243
0.000 0.000 0.000
0.500 0.500 0.500
```

Results
Its magnetization is 0.00 μB per atom. For the energy of formation from the pure elements, the calculation gives -0.24 eV per formula unit. As for the volume: 19.6 Å³ per atom. Its symmetry is R-3m (166).


No. 11
A geometry-optimized Na17LiTl11 structure, computed with GGA-PBE.

```
Na17LiTl11
1.0
9.793 -0.093 -3.450
-4.912 8.473 -3.450
-0.003 -0.006 10.367
Na Li Tl
17 1 11
Direct
0.001 0.001 0.331
0.692 0.692 0.278
0.656 0.656 0.658
0.408 0.408 0.722
0.995 0.995 0.995
0.306 0.587 0.002
0.418 0.732 0.418
0.006 0.306 0.590
0.992 0.337 0.995
0.274 0.686 0.686
0.592 0.004 0.308
0.004 0.592 0.308
0.686 0.274 0.686
0.337 0.992 0.995
0.306 0.006 0.590
0.732 0.418 0.418
0.587 0.306 0.002
0.354 0.354 0.181
0.197 0.197 0.836
0.615 0.806 0.998
0.200 0.385 0.373
0.813 0.003 0.622
0.618 0.000 0.814
0.820 0.199 0.194
0.199 0.820 0.194
0.000 0.618 0.814
0.003 0.813 0.622
0.385 0.200 0.373
0.806 0.615 0.998
```

Results
Its magnetization is 0.00 μB per atom. For the energy of formation from the pure elements, the calculation gives -2.83 eV per formula unit. As for the volume: 29.5 Å³ per atom. Its symmetry is Cm (8).


No. 12
A geometry-optimized LiCo2Mo2 structure, computed with GGA-PBE.

```
LiCo2Mo2
1.0
-6.899 -0.615 -2.662
2.661 -3.147 -6.170
-0.215 -2.331 1.096
Mo Co Li
4 4 2
Direct
0.374 0.874 0.000
0.874 0.626 0.000
0.626 0.126 0.000
0.126 0.374 0.000
0.169 0.669 0.500
0.669 0.831 0.500
0.831 0.331 0.500
0.331 0.169 0.500
0.000 0.000 0.000
0.500 0.500 0.000
```

Results
Its magnetization is 0.00 μB per atom. For the energy of formation from the pure elements, the calculation gives 1.08 eV per formula unit. As for the volume: 14.2 Å³ per atom. Its symmetry is P4/mbm (127). The energy relative to the lowest polymorph listed for this composition is 0.041 eV per atom.


No. 13
A geometry-optimized CdCo2Ir structure, computed with GGA-PBE.

```
CdCo2Ir
1.0
4.079 0.000 0.000
0.000 2.736 0.010
0.000 1.357 5.070
Cd Co Ir
1 2 1
Direct
0.500 0.801 0.773
0.000 0.178 0.018
0.500 0.062 0.252
0.000 0.459 0.457
```

Results
Its magnetization is 0.91 μB per atom. For the energy of formation from the pure elements, the calculation gives 0.99 eV per formula unit. As for the volume: 14.1 Å³ per atom. Its symmetry is Pm (6).


No. 14
A geometry-optimized Cs2KNaLi structure, computed with GGA-PBE.

```
Cs2KNaLi
1.0
7.584 0.000 0.000
0.000 7.584 0.000
0.000 0.000 6.970
Cs Na K Li
2 1 1 1
Direct
0.000 0.500 0.000
0.500 0.000 0.000
0.500 0.500 0.500
0.000 0.000 0.500
0.000 0.000 0.000
```

Results
Its magnetization is 0.00 μB per atom. For the energy of formation from the pure elements, the calculation gives 0.93 eV per formula unit. As for the volume: 80.2 Å³ per atom. Its symmetry is P4/mmm (123). The energy relative to the lowest polymorph listed for this composition is 0.039 eV per atom.


No. 15
A geometry-optimized CeGeIr4 structure, computed with GGA-PBE.

```
CeGeIr4
1.0
5.316 0.000 0.000
2.658 4.604 0.000
2.658 1.535 4.340
Ge Ir Ce
1 4 1
Direct
0.000 0.000 0.000
0.626 0.626 0.122
0.626 0.122 0.626
0.626 0.626 0.626
0.122 0.626 0.626
0.250 0.250 0.250
```

Results
Its magnetization is 0.00 μB per atom. For the energy of formation from the pure elements, the calculation gives -1.91 eV per formula unit. As for the volume: 17.7 Å³ per atom. Its symmetry is F-43m (216). The energy relative to the lowest polymorph listed for this composition is 0.062 eV per atom.


No. 16
A geometry-optimized NiBr2 structure, computed with GGA-PBE.

```
NiBr2
1.0
-6.318 2.091 2.461
4.326 -4.795 -2.940
2.100 -2.947 7.896
Ni Br
2 4
Direct
0.107 0.893 0.750
0.893 0.107 0.250
0.722 0.278 0.750
0.491 0.509 0.750
0.278 0.722 0.250
0.509 0.491 0.250
```

Results
The formation energy from raw total energies comes out at -0.248 eV/atom. Its magnetization is 0.06 μB per atom. As for the volume: 33.8 Å³ per atom. Its symmetry is Cmcm (63).


No. 17
A geometry-optimized TiSb2Rh structure, computed with GGA-PBE.

```
TiSb2Rh
1.0
-3.424 0.285 3.280
-4.374 1.372 -1.246
-3.563 -3.142 -0.006
Sb Rh Ti
2 1 1
Direct
0.250 0.250 0.250
0.750 0.750 0.750
0.500 0.500 0.500
0.000 0.000 0.000
```

Results
The formation energy from raw total energies comes out at -0.194 eV/atom. Its magnetization is 0.02 μB per atom. As for the volume: 19.0 Å³ per atom. Its symmetry is Fm-3m (225).


No. 18
A geometry-optimized Sr6Ga2Bi structure, computed with GGA-PBE.

```
Sr6Ga2Bi
1.0
9.135 -0.163 -3.269
-4.953 7.915 -2.642
-0.041 0.163 9.702
Sr Ga Bi
12 4 2
Direct
0.545 0.726 0.819
0.455 0.274 0.181
0.093 0.274 0.819
0.907 0.726 0.181
0.803 0.758 0.561
0.197 0.242 0.439
0.197 0.758 0.955
0.803 0.242 0.045
0.684 0.351 0.667
0.316 0.649 0.333
0.316 0.982 0.667
0.684 0.018 0.333
0.500 0.391 0.891
0.500 0.609 0.109
0.665 0.000 0.665
0.335 0.000 0.335
0.000 0.500 0.500
0.000 0.000 0.000
```

Results
Its magnetization is 0.00 μB per atom. For the energy of formation from the pure elements, the calculation gives -3.75 eV per formula unit. As for the volume: 38.8 Å³ per atom. Its symmetry is Immm (71).


No. 19
A geometry-optimized LiCdCl2 structure, computed with GGA-PBE.

```
LiCdCl2
1.0
-2.095 2.637 -6.165
1.231 -5.351 1.513
-3.305 -2.501 0.490
Cd Cl Li
1 2 1
Direct
0.500 0.500 0.000
0.000 0.000 0.000
0.500 0.000 0.500
0.000 0.500 0.500
```

Results
The formation energy from raw total energies comes out at -0.960 eV/atom. Its magnetization is 0.00 μB per atom. As for the volume: 27.7 Å³ per atom. Its symmetry is C2/m (12). The energy relative to the lowest polymorph listed for this composition is 0.100 eV per atom.


No. 20
A geometry-optimized LuThZrIn structure, computed with GGA-PBE.

```
LuThZrIn
1.0
-2.850 -3.382 2.858
-1.476 -4.609 -2.075
2.173 -4.478 1.719
Lu Zr Th In
1 1 1 1
Direct
0.000 0.000 0.000
0.500 0.500 0.500
0.750 0.750 0.750
0.250 0.250 0.250
```

Results
Its magnetization is 0.00 μB per atom. For the energy of formation from the pure elements, the calculation gives -0.10 eV per formula unit. As for the volume: 25.8 Å³ per atom. Its symmetry is F-43m (216).


No. 21
A geometry-optimized YCd3Se structure, computed with GGA-PBE.

```
YCd3Se
1.0
-0.920 -4.907 1.825
3.599 0.753 3.839
-3.803 1.900 3.192
Y Se Cd
1 1 3
Direct
0.500 0.500 0.500
0.000 0.000 0.000
0.000 0.500 0.000
0.000 0.000 0.500
0.500 0.000 0.000
```

Results
The formation energy from raw total energies comes out at 0.316 eV/atom. Its magnetization is 0.00 μB per atom. As for the volume: 30.0 Å³ per atom. Its symmetry is Pm-3m (221). The energy relative to the lowest polymorph listed for this composition is 0.000 eV per atom.


No. 22
A geometry-optimized ZrTa2Pt structure, computed with GGA-PBE.

```
ZrTa2Pt
1.0
5.352 -0.078 -0.024
4.180 3.343 -0.024
1.932 0.662 4.025
Pt Ta Zr
1 2 1
Direct
0.254 0.254 0.246
0.999 0.999 0.001
0.745 0.745 0.755
0.503 0.503 0.497
```

Results
Its magnetization is 0.00 μB per atom. For the energy of formation from the pure elements, the calculation gives -1.08 eV per formula unit. As for the volume: 18.4 Å³ per atom. Its symmetry is Imm2 (44).


No. 23
A geometry-optimized FePdS2 structure, computed with GGA-PBE.

```
FePdS2
1.0
0.000 2.995 2.995
2.995 0.000 2.995
2.995 2.995 0.000
S Fe Pd
2 1 1
Direct
0.250 0.250 0.250
0.750 0.750 0.750
0.000 0.000 0.000
0.500 0.500 0.500
```

Results
The formation energy from raw total energies comes out at 0.290 eV/atom. Its magnetization is 0.00 μB per atom. As for the volume: 13.4 Å³ per atom. Its symmetry is Fm-3m (225).